# Nd6Au2N, optimized geometry, DFT GGA-PBE
# **Density of states at the Fermi level**: 8.0 states/eV/f.u.
# **Raw formation energy**: -0.66 eV/atom
data_Nd6Au2N
_chemical_formula_sum 'Nd12 Au4 N2'
_cell_length_a 6.7774
_cell_length_b 7.3465
_cell_length_c 12.0870
_cell_angle_alpha 90.00
_cell_angle_beta 123.13
_cell_angle_gamma 90.00
_space_group_name_H-M_alt 'P 1 21/c 1'
_space_group_IT_number 14
_space_group_name_Hall '-P 2ybc'
loop_
_atom_site_label
_atom_site_type_symbol
_atom_site_fract_x
_atom_site_fract_y
_atom_site_fract_z
Nd1 Nd 0.1228 0.0258 0.2395
Nd2 Nd 0.2320 0.7060 0.0541
Nd3 Nd 0.3574 0.1867 0.0539
Au1 Au 0.2995 0.0869 0.7505
N1 N 0.0000 0.0000 0.0000

***

# NdAuN, optimized geometry, DFT GGA-PBE
# **Density of states at the Fermi level**: 0.7 states/eV/f.u.
# **Raw formation energy**: -0.86 eV/atom
data_NdAuN
_chemical_formula_sum 'Nd2 Au2 N2'
_cell_length_a 3.6112
_cell_length_b 3.6112
_cell_length_c 8.1976
_cell_angle_alpha 90.00
_cell_angle_beta 90.00
_cell_angle_gamma 90.00
_space_group_name_H-M_alt 'P 4/n m m'
_space_group_IT_number 129
loop_
_space_group_symop_operation_xyz
'x,y,z'
'-x,-y,-z'
'-y+1/2,x,z'
'y+1/2,-x,-z'
'-x+1/2,-y+1/2,z'
'x+1/2,y+1/2,-z'
'y,-x+1/2,z'
'-y,x+1/2,-z'
'x+1/2,-y,-z'
'-x+1/2,y,z'
'-y,-x,-z'
'y,x,z'
'-x,y+1/2,-z'
'x,-y+1/2,z'
'y+1/2,x+1/2,-z'
'-y+1/2,-x+1/2,z'
loop_
_atom_site_label
_atom_site_type_symbol
_atom_site_fract_x
_atom_site_fract_y
_atom_site_fract_z
Nd1 Nd 0.2500 0.2500 0.1590
Au1 Au 0.2500 0.2500 0.5824
N1 N 0.2500 0.2500 0.8674

***

# Nd4Au2N, optimized geometry, DFT GGA-PBE
# **Energy relative to the lowest polymorph listed for this composition**: 0.0547 eV per atom
# **Density of states at the Fermi level**: 7.5 states/eV/f.u.
# **Raw formation energy**: -0.73 eV/atom
data_Nd4Au2N
_chemical_formula_sum 'Nd8 Au4 N2'
_cell_length_a 7.3185
_cell_length_b 13.1638
_cell_length_c 3.8586
_cell_angle_alpha 90.00
_cell_angle_beta 90.00
_cell_angle_gamma 90.00
_space_group_name_H-M_alt 'P b a m'
_space_group_IT_number 55
_space_group_name_Hall '-P 2 2ab'
loop_
_atom_site_label
_atom_site_type_symbol
_atom_site_fract_x
_atom_site_fract_y
_atom_site_fract_z
Nd1 Nd 0.1041 0.1844 0.0000
Nd2 Nd 0.2258 0.9600 0.5000
Au1 Au 0.0761 0.6676 0.5000
N1 N 0.0000 0.0000 0.0000

***

# Nd4Au2N, optimized geometry, DFT GGA-PBE
# **Energy relative to the lowest polymorph listed for this composition**: 0.0000 eV per atom
# **Density of states at the Fermi level**: 7.7 states/eV/f.u.
# **Raw formation energy**: -0.78 eV/atom
data_Nd4Au2N
_chemical_formula_sum 'Nd8 Au4 N2'
_cell_length_a 4.9714
_cell_length_b 4.9714
_cell_length_c 14.8708
_cell_angle_alpha 90.00
_cell_angle_beta 90.00
_cell_angle_gamma 90.00
_space_group_name_H-M_alt 'I 4/m m m'
_space_group_IT_number 139
_space_group_name_Hall '-I 4 2'
loop_
_atom_site_label
_atom_site_type_symbol
_atom_site_fract_x
_atom_site_fract_y
_atom_site_fract_z
Nd1 Nd 0.0000 0.0000 0.1746
Nd2 Nd 0.0000 0.5000 0.0000
Au1 Au 0.0000 0.0000 0.3718
N1 N 0.0000 0.0000 0.0000

***

# Nd3AuN, optimized geometry, DFT GGA-PBE
# **Energy relative to the lowest polymorph listed for this composition**: 0.0000 eV per atom
# **Density of states at the Fermi level**: 3.6 states/eV/f.u.
# **Raw formation energy**: -0.87 eV/atom
data_Nd3AuN
_chemical_formula_sum 'Nd12 Au4 N4'
_cell_length_a 3.7505
_cell_length_b 13.2165
_cell_length_c 9.8213
_cell_angle_alpha 90.00
_cell_angle_beta 90.00
_cell_angle_gamma 90.00
_space_group_name_H-M_alt 'C m c m'
_space_group_IT_number 63
_space_group_name_Hall '-C 2c 2'
loop_
_atom_site_label
_atom_site_type_symbol
_atom_site_fract_x
_atom_site_fract_y
_atom_site_fract_z
Nd1 Nd 0.0000 0.0582 0.2500
Nd2 Nd 0.0000 0.3763 0.0577
Au1 Au 0.0000 0.2499 0.7500
N1 N 0.0000 0.0000 0.0000

***

# Nd3AuN, optimized geometry, DFT GGA-PBE
# **Energy relative to the lowest polymorph listed for this composition**: 0.0179 eV per atom
# **Density of states at the Fermi level**: 3.6 states/eV/f.u.
# **Raw formation energy**: -0.85 eV/atom
data_Nd3AuN
_chemical_formula_sum 'Nd6 Au2 N2'
_cell_length_a 5.0696
_cell_length_b 6.9174
_cell_length_c 6.9173
_cell_angle_alpha 90.00
_cell_angle_beta 90.00
_cell_angle_gamma 90.00
_space_group_name_H-M_alt 'P m c 21'
_space_group_IT_number 26
_space_group_name_Hall 'P 2c -2'
loop_
_atom_site_label
_atom_site_type_symbol
_atom_site_fract_x
_atom_site_fract_y
_atom_site_fract_z
Nd1 Nd 0.0000 0.0609 0.0000
Nd2 Nd 0.0000 0.4388 0.3778
Nd3 Nd 0.5000 0.2502 0.6893
Au1 Au 0.5000 0.2494 0.1894
N1 N 0.0000 0.2502 0.6892

***

# Nd2NiAuN, optimized geometry, DFT GGA-PBE
# **Density of states at the Fermi level**: 4.2 states/eV/f.u.
# **Raw formation energy**: -0.77 eV/atom
data_Nd2NiAuN
_chemical_formula_sum 'Nd4 Ni2 Au2 N2'
_cell_length_a 6.7167
_cell_length_b 3.8653
_cell_length_c 8.2837
_cell_angle_alpha 90.00
_cell_angle_beta 109.29
_cell_angle_gamma 90.00
_space_group_name_H-M_alt 'P 1 21/m 1'
_space_group_IT_number 11
_space_group_name_Hall '-P 2yb'
loop_
_atom_site_label
_atom_site_type_symbol
_atom_site_fract_x
_atom_site_fract_y
_atom_site_fract_z
Nd1 Nd 0.2014 0.2500 0.3830
Nd2 Nd 0.2129 0.2500 0.9687
Ni1 Ni 0.4547 0.7500 0.2464
Au1 Au 0.2911 0.7500 0.6949
N1 N 0.1595 0.7500 0.1667

***

# NdNi2Au2N, optimized geometry, DFT GGA-PBE
# **Density of states at the Fermi level**: 4.6 states/eV/f.u.
# **Raw formation energy**: -0.28 eV/atom
data_NdNi2Au2N
_chemical_formula_sum 'Nd2 Ni4 Au4 N2'
_cell_length_a 3.8664
_cell_length_b 3.8664
_cell_length_c 13.9615
_cell_angle_alpha 90.00
_cell_angle_beta 90.00
_cell_angle_gamma 90.00
_space_group_name_H-M_alt 'I 4/m m m'
_space_group_IT_number 139
_space_group_name_Hall '-I 4 2'
loop_
_atom_site_label
_atom_site_type_symbol
_atom_site_fract_x
_atom_site_fract_y
_atom_site_fract_z
Nd1 Nd 0.0000 0.0000 0.0000
Ni1 Ni 0.0000 0.0000 0.3756
Au1 Au 0.0000 0.5000 0.2500
N1 N 0.0000 0.0000 0.5000

***

# Ni3AuN, optimized geometry, DFT GGA-PBE
# **Density of states at the Fermi level**: 2.7 states/eV/f.u.
# **Raw formation energy**: 0.45 eV/atom
data_Ni3AuN
_chemical_formula_sum 'Ni18 Au6 N6'
_cell_length_a 6.8737
_cell_length_b 6.8737
_cell_length_c 8.9389
_cell_angle_alpha 90.00
_cell_angle_beta 90.00
_cell_angle_gamma 120.00
_space_group_name_H-M_alt 'R -3 c'
_space_group_IT_number 167
_space_group_name_Hall '-R 3 2"c'
loop_
_atom_site_label
_atom_site_type_symbol
_atom_site_fract_x
_atom_site_fract_y
_atom_site_fract_z
Ni1 Ni 0.0000 0.2596 0.2500
Au1 Au 0.0000 0.0000 0.0000
N1 N 0.0000 0.0000 0.2500

***

# Ni3AuN, optimized geometry, DFT GGA-PBE
# **Density of states at the Fermi level**: 7.6 states/eV/f.u.
# **Raw formation energy**: 0.66 eV/atom
data_Ni3AuN
_chemical_formula_sum 'Ni12 Au4 N4'
_cell_length_a 4.9908
_cell_length_b 12.8897
_cell_length_c 4.6001
_cell_angle_alpha 90.00
_cell_angle_beta 90.00
_cell_angle_gamma 90.00
_space_group_name_H-M_alt 'C m c m'
_space_group_IT_number 63
_space_group_name_Hall '-C 2c 2'
loop_
_atom_site_label
_atom_site_type_symbol
_atom_site_fract_x
_atom_site_fract_y
_atom_site_fract_z
Ni1 Ni 0.0000 0.0000 0.0000
Ni2 Ni 0.2489 0.1433 0.2500
Au1 Au 0.0000 0.1811 0.7500
N1 N 0.0000 0.4441 0.7500

***

# Ni3AuN, optimized geometry, DFT GGA-PBE
# **Density of states at the Fermi level**: 3.8 states/eV/f.u.
# **Raw formation energy**: 0.13 eV/atom
data_Ni3AuN
_chemical_formula_sum 'Ni24 Au8 N8'
_cell_length_a 12.1720
_cell_length_b 7.7751
_cell_length_c 5.2840
_cell_angle_alpha 90.00
_cell_angle_beta 102.08
_cell_angle_gamma 90.00
_space_group_name_H-M_alt 'C 1 2/c 1'
_space_group_IT_number 15
_space_group_name_Hall '-C 2yc'
loop_
_atom_site_label
_atom_site_type_symbol
_atom_site_fract_x
_atom_site_fract_y
_atom_site_fract_z
Ni1 Ni 0.1685 0.0018 0.0723
Ni2 Ni 0.1680 0.3320 0.5827
Ni3 Ni 0.1688 0.3338 0.0866
Au1 Au 0.0000 0.1523 0.2500
Au2 Au 0.0000 0.4845 0.7500
N1 N 0.1742 0.1641 0.8210

***

# Ni3AuN, optimized geometry, DFT GGA-PBE
# **Density of states at the Fermi level**: 8.5 states/eV/f.u.
# **Raw formation energy**: 1.02 eV/atom
data_Ni3AuN
_chemical_formula_sum 'Ni12 Au4 N4'
_cell_length_a 4.0883
_cell_length_b 4.0883
_cell_length_c 19.0105
_cell_angle_alpha 90.00
_cell_angle_beta 90.00
_cell_angle_gamma 90.00
_space_group_name_H-M_alt 'I -4 m 2'
_space_group_IT_number 119
_space_group_name_Hall 'I -4 -2'
loop_
_atom_site_label
_atom_site_type_symbol
_atom_site_fract_x
_atom_site_fract_y
_atom_site_fract_z
Ni1 Ni 0.0000 0.0000 0.1572
Ni2 Ni 0.0000 0.2464 0.6234
Au1 Au 0.0000 0.0000 0.5000
Au2 Au 0.0000 0.5000 0.7500
N1 N 0.0000 0.5000 0.1390

***

| no. | V (A^3/atom) |
| --- | --- |
| 1 | 28.000 |
| 2 | 17.817 |
| 3 | 26.552 |
| 4 | 26.253 |
| 5 | 24.341 |
| 6 | 24.258 |
| 7 | 20.299 |
| 8 | 17.393 |
| 9 | 12.192 |
| 10 | 14.796 |
| 11 | 12.225 |
| 12 | 15.887 |